Record 1
DFT (GGA-PBE) results for crystalline Ba2CoHg at its relaxed geometry.

Cell and atoms, written as CIF:
```
data_Ba2CoHg
_chemical_formula_sum 'Ba4 Co2 Hg2'
_cell_length_a 4.007
_cell_length_b 5.430
_cell_length_c 11.797
_cell_angle_alpha 90.00
_cell_angle_beta 90.00
_cell_angle_gamma 90.00
_symmetry_space_group_name_H-M 'I m m 2'
_symmetry_Int_Tables_number 44
_symmetry_space_group_name_Hall 'I 2 -2'
loop_
_atom_site_label
_atom_site_fract_x
_atom_site_fract_y
_atom_site_fract_z
_atom_site_occupancy
Ba1 0.000 0.000 0.000 1
Ba2 0.000 0.500 0.198 1
Co1 0.000 0.500 0.752 1
Hg1 0.000 0.000 0.401 1
```

=====

Record 2
DFT (GGA-PBE) results for crystalline Ba2CoHg at its relaxed geometry.

Cell and atoms, written as CIF:
```
data_Ba2CoHg
_chemical_formula_sum 'Ba2 Co1 Hg1'
_cell_length_a 3.857
_cell_length_b 3.857
_cell_length_c 9.252
_cell_angle_alpha 90.00
_cell_angle_beta 90.00
_cell_angle_gamma 90.00
_symmetry_space_group_name_H-M 'P 4 m m'
_symmetry_Int_Tables_number 99
_symmetry_space_group_name_Hall 'P 4 -2'
loop_
_atom_site_label
_atom_site_fract_x
_atom_site_fract_y
_atom_site_fract_z
_atom_site_occupancy
Ba1 0.000 0.000 0.000 1
Ba2 0.500 0.500 0.426 1
Co1 0.000 0.000 0.668 1
Hg1 0.500 0.500 0.770 1
```

=====

Record 3
DFT (GGA-PBE) results for crystalline BaCo2Hg at its relaxed geometry.

Cell and atoms, written as CIF:
```
data_BaCo2Hg
_chemical_formula_sum 'Ba3 Co6 Hg3'
_cell_length_a 4.2404
_cell_length_b 4.2404
_cell_length_c 18.2679
_cell_angle_alpha 90.00
_cell_angle_beta 90.00
_cell_angle_gamma 120.00
_symmetry_space_group_name_H-M 'R 3 m'
_symmetry_Int_Tables_number 160
_symmetry_space_group_name_Hall 'R 3 -2"'
loop_
_atom_site_label
_atom_site_fract_x
_atom_site_fract_y
_atom_site_fract_z
_atom_site_occupancy
Ba1 0.0000 0.0000 0.0000 1
Co1 0.0000 0.0000 0.4664 1
Co2 0.0000 0.0000 0.7968 1
Hg1 0.0000 0.0000 0.1934 1
```

=====

Record 4
DFT (GGA-PBE) results for crystalline Ba2CoHg at its relaxed geometry.

Cell and atoms, written as CIF:
```
data_Ba2CoHg
_chemical_formula_sum 'Ba8 Co4 Hg4'
_cell_length_a 8.635
_cell_length_b 8.635
_cell_length_c 7.320
_cell_angle_alpha 90.00
_cell_angle_beta 90.00
_cell_angle_gamma 90.00
_symmetry_space_group_name_H-M 'I -4 2 d'
_symmetry_Int_Tables_number 122
_symmetry_space_group_name_Hall 'I -4 2bw'
loop_
_atom_site_label
_atom_site_fract_x
_atom_site_fract_y
_atom_site_fract_z
_atom_site_occupancy
Ba1 0.192 0.750 0.125 1
Co1 0.000 0.000 0.000 1
Hg1 0.000 0.000 0.500 1
```

=====

Record 5
DFT (GGA-PBE) results for crystalline BaCo2Hg at its relaxed geometry.

Cell and atoms, written as CIF:
```
data_BaCo2Hg
_chemical_formula_sum 'Ba1 Co2 Hg1'
_cell_length_a 3.594
_cell_length_b 3.594
_cell_length_c 6.960
_cell_angle_alpha 90.00
_cell_angle_beta 90.00
_cell_angle_gamma 90.00
_symmetry_space_group_name_H-M 'P 4/m m m'
_symmetry_Int_Tables_number 123
_symmetry_space_group_name_Hall '-P 4 2'
loop_
_atom_site_label
_atom_site_fract_x
_atom_site_fract_y
_atom_site_fract_z
_atom_site_occupancy
Ba1 0.000 0.000 0.000 1
Co1 0.500 0.500 0.341 1
Hg1 0.000 0.000 0.500 1
```

=====

Record 6
DFT (GGA-PBE) results for crystalline Ba2CoHg at its relaxed geometry.

Cell and atoms, written as CIF:
```
data_Ba2CoHg
_chemical_formula_sum 'Ba2 Co1 Hg1'
_cell_length_a 5.699
_cell_length_b 5.699
_cell_length_c 4.087
_cell_angle_alpha 90.00
_cell_angle_beta 90.00
_cell_angle_gamma 90.00
_symmetry_space_group_name_H-M 'P 4/m m m'
_symmetry_Int_Tables_number 123
_symmetry_space_group_name_Hall '-P 4 2'
loop_
_atom_site_label
_atom_site_fract_x
_atom_site_fract_y
_atom_site_fract_z
_atom_site_occupancy
Ba1 0.000 0.500 0.000 1
Co1 0.000 0.000 0.500 1
Hg1 0.500 0.500 0.500 1
```

=====

Record 7
DFT (GGA-PBE) results for crystalline BaIn2CoHg at its relaxed geometry.

Cell and atoms, written as CIF:
```
data_BaIn2CoHg
_chemical_formula_sum 'Ba1 In2 Co1 Hg1'
_cell_length_a 5.027
_cell_length_b 5.027
_cell_length_c 5.246
_cell_angle_alpha 90.00
_cell_angle_beta 90.00
_cell_angle_gamma 90.00
_symmetry_space_group_name_H-M 'P 4/m m m'
_symmetry_Int_Tables_number 123
_symmetry_space_group_name_Hall '-P 4 2'
loop_
_atom_site_label
_atom_site_fract_x
_atom_site_fract_y
_atom_site_fract_z
_atom_site_occupancy
Ba1 0.000 0.000 0.000 1
In1 0.000 0.500 0.500 1
Co1 0.500 0.500 0.500 1
Hg1 0.500 0.500 0.000 1
```

=====

Record 8
DFT (GGA-PBE) results for crystalline BaLa2CoHg at its relaxed geometry.

## Properties
Energy above the lowest structure with this stoichiometry: 0 meV per atom

Cell and atoms, written as CIF:
```
data_BaLa2CoHg
_chemical_formula_sum 'Ba1 La2 Co1 Hg1'
_cell_length_a 5.359
_cell_length_b 5.359
_cell_length_c 5.404
_cell_angle_alpha 90.00
_cell_angle_beta 90.00
_cell_angle_gamma 90.00
_symmetry_space_group_name_H-M 'P 4/m m m'
_symmetry_Int_Tables_number 123
_symmetry_space_group_name_Hall '-P 4 2'
loop_
_atom_site_label
_atom_site_fract_x
_atom_site_fract_y
_atom_site_fract_z
_atom_site_occupancy
Ba1 0.000 0.000 0.000 1
La1 0.000 0.500 0.500 1
Co1 0.500 0.500 0.500 1
Hg1 0.500 0.500 0.000 1
```

=====

ΔE_f: 0.16; 0.21; 0.15; 0.33; 0.54; 0.16; -0.21; -0.11 (eV/atom)
Ρ: 6.91; 6.44; 7.98; 6.50; 8.42; 6.68; 7.85; 7.22 (Mg/m³)